Material: Pr2Ag3Hg
Method: DFT, GGA-PBE
State: relaxed

## Properties
The crystal system is orthorhombic. The polymorph energy (0 for the lowest one) comes out at 0 meV/atom. The total magnetization comes out at 0.0000 μB per atom. Its calculated formation energy is -314 meV/atom. The calculation puts the energy at -3.3836 eV per atom.

Lattice parameters (Å, degrees): 6.961 9.842 17.161 90.00 90.00 90.00
Space group Fmmm (No. 69)
Unique sites:
Pr1 0.248 0.000 0.000 (multiplicity 8)
Pr2 0.250 0.250 0.250 (multiplicity 8)
Ag1 0.000 0.000 0.165 (multiplicity 8)
Ag2 0.000 0.248 0.082 (multiplicity 16)
Hg1 0.000 0.000 0.333 (multiplicity 8)

Material: CdReSb2I
Method: DFT, GGA-PBE
State: relaxed

## Properties
The value obtained for the uncorrected formation energy is 2.911 eV per formula unit. The crystal system is tetragonal. The polymorph energy (0 for the lowest one) comes out at 0 meV/atom. The total magnetization comes out at 0.0000 μB per atom. The calculation puts the energy at -4.0494 eV per atom.

Lattice parameters (Å, degrees): 5.113 5.113 5.986 90.00 90.00 90.00
Space group P4/mmm (No. 123)
Unique sites:
Cd1 0.000 0.000 0.000 (multiplicity 1)
Re1 0.500 0.500 0.500 (multiplicity 1)
Sb1 0.000 0.500 0.500 (multiplicity 2)
I1 0.500 0.500 0.000 (multiplicity 1)